# 1
# PBE BaLiPd2F8, optimized geometry
data_BaLiPd2F8
_chemical_formula_sum 'Ba1 Li1 Pd2 F8'
_cell_length_a 5.674
_cell_length_b 5.674
_cell_length_c 6.721
_cell_angle_alpha 114.97
_cell_angle_beta 114.97
_cell_angle_gamma 90.00
_space_group_name_H-M_alt 'P 1'
_space_group_IT_number 1
_space_group_name_Hall 'P 1'
loop_
_atom_site_label
_atom_site_type_symbol
_atom_site_fract_x
_atom_site_fract_y
_atom_site_fract_z
F1 F 0.116 0.062 0.766
F2 F 0.852 0.805 0.253
F3 F 0.649 0.704 0.766
F4 F 0.938 0.351 0.234
F5 F 0.296 0.884 0.234
F6 F 0.195 0.599 0.747
F7 F 0.401 0.448 0.253
F8 F 0.552 0.148 0.747
Pd1 Pd 0.500 0.500 0.000
Pd2 Pd 0.250 0.750 0.500
Li1 Li 0.000 0.000 0.000
Ba1 Ba 0.750 0.250 0.500
# Raw formation energy, eV/atom: -1.95

# 2
# PBE BaCuPb4, optimized geometry
data_BaCuPb4
_chemical_formula_sum 'Ba1 Cu1 Pb4'
_cell_length_a 6.570
_cell_length_b 6.570
_cell_length_c 6.570
_cell_angle_alpha 60.00
_cell_angle_beta 60.00
_cell_angle_gamma 60.00
_space_group_name_H-M_alt 'P 1'
_space_group_IT_number 1
_space_group_name_Hall 'P 1'
loop_
_atom_site_label
_atom_site_type_symbol
_atom_site_fract_x
_atom_site_fract_y
_atom_site_fract_z
Pb1 Pb 0.875 0.375 0.375
Pb2 Pb 0.375 0.375 0.375
Pb3 Pb 0.375 0.875 0.375
Pb4 Pb 0.375 0.375 0.875
Ba1 Ba 0.750 0.750 0.750
Cu1 Cu 0.000 0.000 0.000
# ΔH_f (0 K), meV per atom: 95.8

# 3
# PBE Rb3NaMg, optimized geometry
data_Rb3NaMg
_chemical_formula_sum 'Rb3 Na1 Mg1'
_cell_length_a 7.311
_cell_length_b 7.311
_cell_length_c 7.311
_cell_angle_alpha 90.00
_cell_angle_beta 90.00
_cell_angle_gamma 90.00
_space_group_name_H-M_alt 'P 1'
_space_group_IT_number 1
_space_group_name_Hall 'P 1'
loop_
_atom_site_label
_atom_site_type_symbol
_atom_site_fract_x
_atom_site_fract_y
_atom_site_fract_z
Rb1 Rb 0.500 0.000 0.000
Rb2 Rb 0.000 0.000 0.500
Rb3 Rb 0.000 0.500 0.000
Mg1 Mg 0.000 0.000 0.000
Na1 Na 0.500 0.500 0.500
# Distance to the lowest polymorph of the same formula, meV per atom: 0
# ΔH_f (0 K), meV per atom: 258.9

# 4
# PBE MnZn, optimized geometry
data_MnZn
_chemical_formula_sum 'Mn2 Zn2'
_cell_length_a 4.379
_cell_length_b 4.379
_cell_length_c 5.040
_cell_angle_alpha 90.00
_cell_angle_beta 90.00
_cell_angle_gamma 120.00
_space_group_name_H-M_alt 'P 1'
_space_group_IT_number 1
_space_group_name_Hall 'P 1'
loop_
_atom_site_label
_atom_site_type_symbol
_atom_site_fract_x
_atom_site_fract_y
_atom_site_fract_z
Mn1 Mn 0.333 0.667 0.250
Mn2 Mn 0.667 0.333 0.750
Zn1 Zn 0.667 0.333 0.250
Zn2 Zn 0.333 0.667 0.750
# ΔH_f (0 K), meV per atom: 885.4

# 5
# PBE InNi11B5, optimized geometry
data_InNi11B5
_chemical_formula_sum 'In1 Ni11 B5'
_cell_length_a 5.049
_cell_length_b 6.047
_cell_length_c 6.047
_cell_angle_alpha 100.73
_cell_angle_beta 99.63
_cell_angle_gamma 99.63
_space_group_name_H-M_alt 'P 1'
_space_group_IT_number 1
_space_group_name_Hall 'P 1'
loop_
_atom_site_label
_atom_site_type_symbol
_atom_site_fract_x
_atom_site_fract_y
_atom_site_fract_z
B1 B 0.715 0.004 0.341
B2 B 0.000 0.500 0.500
B3 B 0.285 0.996 0.659
B4 B 0.715 0.341 0.004
B5 B 0.285 0.659 0.996
Ni1 Ni 0.908 0.809 0.538
Ni2 Ni 0.625 0.333 0.333
Ni3 Ni 0.335 0.331 0.868
Ni4 Ni 0.335 0.868 0.331
Ni5 Ni 0.375 0.667 0.667
Ni6 Ni 0.665 0.132 0.669
Ni7 Ni 0.092 0.462 0.191
Ni8 Ni 0.092 0.191 0.462
Ni9 Ni 0.500 0.000 0.000
Ni10 Ni 0.908 0.538 0.809
Ni11 Ni 0.665 0.669 0.132
In1 In 0.000 0.000 0.000
# ΔH_f (0 K), meV per atom: -152.0

# 6
# PBE Pm4AlRh, optimized geometry
data_Pm4AlRh
_chemical_formula_sum 'Pm8 Al2 Rh2'
_cell_length_a 6.123
_cell_length_b 8.270
_cell_length_c 8.266
_cell_angle_alpha 113.98
_cell_angle_beta 104.10
_cell_angle_gamma 104.68
_space_group_name_H-M_alt 'P 1'
_space_group_IT_number 1
_space_group_name_Hall 'P 1'
loop_
_atom_site_label
_atom_site_type_symbol
_atom_site_fract_x
_atom_site_fract_y
_atom_site_fract_z
Pm1 Pm 0.780 0.698 0.634
Pm2 Pm 0.354 0.936 0.634
Pm3 Pm 0.041 0.218 0.864
Pm4 Pm 0.646 0.064 0.366
Pm5 Pm 0.959 0.782 0.136
Pm6 Pm 0.220 0.302 0.366
Pm7 Pm 0.678 0.354 0.136
Pm8 Pm 0.322 0.646 0.864
Rh1 Rh 0.249 0.999 0.998
Rh2 Rh 0.751 0.001 0.002
Al1 Al 0.376 0.626 0.252
Al2 Al 0.624 0.374 0.748
# Distance to the lowest polymorph of the same formula, meV per atom: 83
# ΔH_f (0 K), meV per atom: -357.5

no.,theoretical density (Mg/m³)
1,4.87
2,8.53
3,1.29
4,4.78
5,7.73
6,6.93